Entry 1:
An optimized crystal structure of SrNbCdAg2, computed with PBE.

a = 5.2406 Å, b = 5.2406 Å, c = 5.8073 Å
α = 90.00°, β = 90.00°, γ = 90.00°
With the nearest neighbours (Å) after each atom.
Space group P4/mmm (No. 123)
Asymmetric unit:
Sr  0.0000  0.0000  0.0000  2 Nb 2.90
Nb  0.0000  0.0000  0.5000  4 Ag 2.62, 2 Sr 2.90
Cd  0.5000  0.5000  0.0000  4 Sr 3.71, 8 Ag 3.91
Ag  0.0000  0.5000  0.5000  2 Nb 2.62

Entry 2:
An optimized crystal structure of K2Cd4Pt3, computed with PBE.

a = 5.9252 Å, b = 16.5519 Å, c = 8.5415 Å
α = 90.00°, β = 90.00°, γ = 90.00°
With the nearest neighbours (Å) after each atom.
Space group Cmce (No. 64)
Asymmetric unit:
K  0.0000  0.1056  0.1081  4 Pt 3.30-3.56, 8 Cd 3.37-3.54
Cd  0.0000  0.1901  0.4859  4 Pt 2.79-2.81
Cd  0.2500  0.0651  0.7500  3 Pt 2.76-2.81, 2 Cd 2.96
Pt  0.0000  0.0000  0.5000  6 Cd 2.81-3.15
Pt  0.2500  0.2319  0.7500  5 Cd 2.76-2.81, 2 Pt 2.96

Entry 3:
An optimized crystal structure of Pm2Dy2Bi5, computed with PBE.

a = 16.2166 Å, b = 8.3015 Å, c = 8.5018 Å
α = 90.00°, β = 90.00°, γ = 90.00°
With the nearest neighbours (Å) after each atom.
Space group Cmce (No. 64)
Asymmetric unit:
Pm  0.1926  0.0000  0.0000  7 Bi 3.12-3.35
Dy  0.0000  0.1546  0.3412  8 Bi 3.17-3.45
Bi  0.0000  0.0000  0.0000  2 Pm 3.12, 4 Dy 3.17
Bi  0.1380  0.1501  0.6498  3 Dy 3.21-3.45, 3 Pm 3.27-3.35, 1 Bi 3.56

Entry 4:
An optimized crystal structure of TbTmScPt, computed with PBE.

a = 7.1749 Å, b = 7.1749 Å, c = 7.1749 Å
α = 90.00°, β = 90.00°, γ = 90.00°
With the nearest neighbours (Å) after each atom.
Space group F-43m (No. 216)
Asymmetric unit:
Tb  0.0000  0.0000  0.0000  4 Pt 3.11, 4 Sc 3.11
Tm  0.0000  0.0000  0.5000  4 Sc 3.11, 4 Pt 3.11
Sc  0.2500  0.2500  0.7500  4 Tb 3.11, 4 Tm 3.11
Pt  0.2500  0.2500  0.2500  4 Tb 3.11, 4 Tm 3.11

Entry 5:
An optimized crystal structure of Na3Mg3In8, computed with PBE.

a = 4.9862 Å, b = 10.9523 Å, c = 13.6761 Å
α = 90.00°, β = 90.00°, γ = 90.00°
With the nearest neighbours (Å) after each atom.
Space group Immm (No. 71)
Asymmetric unit:
Na  0.0000  0.0000  0.0000  12 In 3.49-3.70, 2 Na 3.85
Na  0.0000  0.0000  0.2816  2 Mg 3.46, 10 In 3.46-3.70, 1 Na 3.85
Mg  0.0000  0.1588  0.5000  6 In 3.00-3.21, 2 Mg 3.04
Mg  0.0000  0.5000  0.0000  4 In 3.02, 4 Mg 3.04
In  0.0000  0.2886  0.1412  3 Mg 3.02-3.21, 3 In 3.02-3.08
In  0.0000  0.3666  0.3573  4 In 2.92-3.08, 1 Mg 3.00

Entry 6:
An optimized crystal structure of RbNbV2, computed with PBE.

a = 6.8478 Å, b = 6.8478 Å, c = 6.8478 Å
α = 90.00°, β = 90.00°, γ = 90.00°
With the nearest neighbours (Å) after each atom.
Space group Fm-3m (No. 225)
Asymmetric unit:
Rb  0.0000  0.0000  0.0000  8 V 2.97
Nb  0.0000  0.0000  0.5000  8 V 2.97
V  0.2500  0.2500  0.2500  4 Nb 2.97, 4 Rb 2.97

Properties
- distance to the lowest polymorph of the same formula (eV per atom) = 0.000

Ρ values, unit g/cm3, following the record order: 5.30; 8.83; 9.63; 10.21; 4.72; 5.80.
Uncorrected energy values, unit eV for the cell shown, following the record order: -13.1; -103.5; -176.8; -92.2; -63.6; -90.9.
Total magnetization values, unit Bohr magnetons per cell, following the record order: 0.017; 0.000; 0.000; 3.945; 0.000; 12.906.